The following is a DFT calculation (PBE) of PuAgH after structural relaxation.

a = 2.915 Å, b = 3.758 Å, c = 7.470 Å
α = 90.00°, β = 94.70°, γ = 90.00°
Element x y z (fractional)
Pu 0.142 0.250 0.079
Pu 0.858 0.750 0.921
Ag 0.287 0.250 0.620
Ag 0.713 0.750 0.380
H 0.335 0.750 0.678
H 0.665 0.250 0.322

## Properties
* crystal system: monoclinic

---

The following is a DFT calculation (PBE) of PuAgH after structural relaxation.

a = 3.424 Å, b = 3.424 Å, c = 5.169 Å
α = 90.00°, β = 90.00°, γ = 120.00°
Element x y z (fractional)
Pu 0.000 0.000 0.000
Ag 0.333 0.667 0.513
H 0.667 0.333 0.175

## Properties
* crystal system: trigonal

---

Relative energy among the computed polymorphs: 113; 0 (meV per atom)